1.
The following is a DFT calculation (PBE) of an optimized crystal structure of Pu3GaTe6.

Cell lengths 9.6284, 9.6284, 7.3193 Å; angles 90.00, 90.00, 101.67 degrees
Positions (direct):
Pu 0.0991 0.9009 0.5000
Pu 0.2241 0.4176 0.4024
Pu 0.4176 0.2241 0.9024
Pu 0.5824 0.7759 0.4024
Pu 0.7759 0.5824 0.9024
Pu 0.9009 0.0991 0.0000
Ga 0.2958 0.7042 0.8566
Ga 0.7042 0.2958 0.3566
Te 0.0581 0.5926 0.6764
Te 0.1268 0.1976 0.7025
Te 0.1976 0.1268 0.2025
Te 0.2780 0.7220 0.2205
Te 0.4074 0.9419 0.6764
Te 0.4624 0.5376 0.7100
Te 0.5376 0.4624 0.2100
Te 0.5926 0.0581 0.1764
Te 0.7220 0.2780 0.7205
Te 0.8024 0.8732 0.7025
Te 0.8732 0.8024 0.2025
Te 0.9419 0.4074 0.1764

Computed properties:
total magnetization: 30.00 μB per cell
formation energy from raw total energies: -0.8056 eV/atom

2.
The following is a DFT calculation (PBE) of an optimized crystal structure of PrSm3Y3Te8.

Cell lengths 8.7873, 8.7873, 8.7873 Å; angles 60.01, 60.01, 60.01 degrees
Positions (direct):
Pr 0.0000 0.0000 0.0000
Sm 0.0000 0.0000 0.5000
Sm 0.0000 0.5000 0.0000
Sm 0.5000 0.0000 0.0000
Y 0.0000 0.5000 0.5000
Y 0.5000 0.0000 0.5000
Y 0.5000 0.5000 0.0000
Te 0.2522 0.2522 0.2522
Te 0.2606 0.2606 0.7351
Te 0.2606 0.7351 0.2606
Te 0.2649 0.7394 0.7394
Te 0.7351 0.2606 0.2606
Te 0.7394 0.2649 0.7394
Te 0.7394 0.7394 0.2649
Te 0.7478 0.7478 0.7478

Computed properties:
total magnetization: 0.00 μB per cell
formation energy from raw total energies: -1.4179 eV/atom

3.
The following is a DFT calculation (PBE) of an optimized crystal structure of CaCd2Cl.

Cell lengths 3.8035, 3.8035, 26.8849 Å; angles 90.00, 90.00, 120.00 degrees
Positions (direct):
Ca 0.0000 0.0000 0.0000
Ca 0.3333 0.6667 0.6667
Ca 0.6667 0.3333 0.3333
Cd 0.0000 0.0000 0.2432
Cd 0.0000 0.0000 0.7568
Cd 0.3333 0.6667 0.4235
Cd 0.3333 0.6667 0.9099
Cd 0.6667 0.3333 0.0901
Cd 0.6667 0.3333 0.5765
Cl 0.0000 0.0000 0.5000
Cl 0.3333 0.6667 0.1667
Cl 0.6667 0.3333 0.8333

Computed properties:
polymorph energy (0 for the lowest one): 353 meV per atom
total magnetization: 0.00 μB per cell
formation energy from raw total energies: -0.4359 eV/atom

Please write out number 3 again, unchanged.
The following is a DFT calculation (PBE) of an optimized crystal structure of CaCd2Cl.

Cell lengths 3.8035, 3.8035, 26.8849 Å; angles 90.00, 90.00, 120.00 degrees
Positions (direct):
Ca 0.0000 0.0000 0.0000
Ca 0.3333 0.6667 0.6667
Ca 0.6667 0.3333 0.3333
Cd 0.0000 0.0000 0.2432
Cd 0.0000 0.0000 0.7568
Cd 0.3333 0.6667 0.4235
Cd 0.3333 0.6667 0.9099
Cd 0.6667 0.3333 0.0901
Cd 0.6667 0.3333 0.5765
Cl 0.0000 0.0000 0.5000
Cl 0.3333 0.6667 0.1667
Cl 0.6667 0.3333 0.8333

Computed properties:
polymorph energy (0 for the lowest one): 353 meV per atom
total magnetization: 0.00 μB per cell
formation energy from raw total energies: -0.4359 eV/atom

- What is the formula in the first record?
  Pu3GaTe6

Please write out number 1 again, unchanged.
The following is a DFT calculation (PBE) of an optimized crystal structure of Pu3GaTe6.

Cell lengths 9.6284, 9.6284, 7.3193 Å; angles 90.00, 90.00, 101.67 degrees
Positions (direct):
Pu 0.0991 0.9009 0.5000
Pu 0.2241 0.4176 0.4024
Pu 0.4176 0.2241 0.9024
Pu 0.5824 0.7759 0.4024
Pu 0.7759 0.5824 0.9024
Pu 0.9009 0.0991 0.0000
Ga 0.2958 0.7042 0.8566
Ga 0.7042 0.2958 0.3566
Te 0.0581 0.5926 0.6764
Te 0.1268 0.1976 0.7025
Te 0.1976 0.1268 0.2025
Te 0.2780 0.7220 0.2205
Te 0.4074 0.9419 0.6764
Te 0.4624 0.5376 0.7100
Te 0.5376 0.4624 0.2100
Te 0.5926 0.0581 0.1764
Te 0.7220 0.2780 0.7205
Te 0.8024 0.8732 0.7025
Te 0.8732 0.8024 0.2025
Te 0.9419 0.4074 0.1764

Computed properties:
total magnetization: 30.00 μB per cell
formation energy from raw total energies: -0.8056 eV/atom

- What is the formation energy from raw total energies in the third record?
  -0.4359 eV/atom